A geometry-optimized Er structure. Source: Alexandria, functional GGA-PBEsol.

Total magnetic moment ... 0.0005 μB per atom
D(E_F) ... 1.66 states/eV per atom
ΔE_f ... 0.005 eV/atom
Crystal system ... hexagonal
Total DFT energy (no corrections) ... -9.8 eV per cell

Structure (POSCAR):
```
Er
1.0
-0.130 0.321 -3.487
2.970 -1.017 1.557
-1.561 -5.204 -0.421
Er
2
Cartesian
1.547 -1.872 -0.230
-0.267 -4.028 -2.122
```

A geometry-optimized LaTl2Co structure. Source: Alexandria, functional GGA-PBEsol.

Total magnetic moment ... 0.0002 μB per atom
D(E_F) ... 0.81 states/eV per atom
ΔE_f ... 0.100 eV/atom
Crystal system ... orthorhombic
Total DFT energy (no corrections) ... -17.9 eV per cell

Structure (POSCAR):
```
LaTl2Co
1.0
3.671 0.000 -0.001
0.000 5.312 0.000
-1.837 -2.656 4.786
Tl Co La
2 1 1
Cartesian
1.833 2.656 4.773
1.835 0.000 2.890
1.836 2.656 0.071
0.000 2.656 1.834
```

A geometry-optimized KTaRh2 structure. Source: Alexandria, functional GGA-PBEsol.

Total magnetic moment ... 0.0001 μB per atom
D(E_F) ... 0.56 states/eV per atom
ΔE_f ... 0.610 eV/atom
Crystal system ... cubic
Total DFT energy (no corrections) ... -27.5 eV per cell

Structure (POSCAR):
```
KTaRh2
1.0
4.574 0.000 0.000
2.287 3.962 0.000
2.287 1.321 3.735
K Rh Ta
1 2 1
Cartesian
0.000 0.000 0.000
6.862 3.962 2.801
2.287 1.321 0.934
4.574 2.641 1.868
```

A geometry-optimized MnPOs2 structure. Source: Alexandria, functional GGA-PBEsol.

Total magnetic moment ... 0.5217 μB per atom
D(E_F) ... 0.70 states/eV per atom
ΔE_f ... -0.004 eV/atom
Crystal system ... orthorhombic
Total DFT energy (no corrections) ... -40.0 eV per cell

Structure (POSCAR):
```
MnPOs2
1.0
2.789 0.000 0.000
0.000 4.187 0.000
-1.394 -2.093 4.472
Mn Os P
1 2 1
Cartesian
0.000 2.093 0.000
1.394 2.093 2.612
0.000 0.000 1.860
1.394 0.000 0.000
```

A geometry-optimized Ca2ZrRu structure. Source: Alexandria, functional GGA-PBEsol.

Total magnetic moment ... 0.0030 μB per atom
D(E_F) ... 0.82 states/eV per atom
ΔE_f ... 0.114 eV/atom
Crystal system ... trigonal
Total DFT energy (no corrections) ... -23.1 eV per cell

Structure (POSCAR):
```
Ca2ZrRu
1.0
4.214 0.000 0.000
-2.107 3.650 -0.043
0.000 -2.332 7.924
Ru Ca Zr
1 2 1
Cartesian
0.000 2.471 2.891
0.000 0.012 0.681
0.000 0.063 5.261
2.107 1.255 2.967
```

A geometry-optimized Be2NbRu2 structure. Source: Alexandria, functional GGA-PBEsol.

Total magnetic moment ... 0.0000 μB per atom
D(E_F) ... 0.32 states/eV per atom
ΔE_f ... -0.330 eV/atom
Crystal system ... tetragonal
Total DFT energy (no corrections) ... -81.6 eV per cell

Structure (POSCAR):
```
Be2NbRu2
1.0
2.903 0.000 0.000
0.000 6.389 0.000
0.000 0.000 6.389
Ru Nb Be
4 2 4
Cartesian
1.452 1.087 4.281
1.452 4.281 5.302
1.452 5.302 2.108
1.452 2.108 1.087
0.000 0.000 0.000
0.000 3.194 3.194
0.000 2.434 5.628
0.000 5.628 3.955
0.000 3.955 0.761
0.000 0.761 2.434
```

A geometry-optimized KLiGa2 structure. Source: Alexandria, functional GGA-PBEsol.

Total magnetic moment ... 0.0001 μB per atom
D(E_F) ... 0.67 states/eV per atom
ΔE_f ... 0.190 eV/atom
Crystal system ... cubic
Total DFT energy (no corrections) ... -9.0 eV per cell

Structure (POSCAR):
```
KLiGa2
1.0
-5.014 -0.429 0.738
-1.837 -3.796 2.844
-1.991 0.984 4.576
K Ga Li
1 2 1
Cartesian
-4.421 -1.621 4.079
-2.210 -0.810 2.039
-6.631 -2.431 6.118
0.000 0.000 0.000
```

A geometry-optimized CaYOs structure. Source: Alexandria, functional GGA-PBEsol.

Total magnetic moment ... 0.0001 μB per atom
D(E_F) ... 0.63 states/eV per atom
ΔE_f ... 1.145 eV/atom
Crystal system ... cubic
Total DFT energy (no corrections) ... -17.7 eV per cell

Structure (POSCAR):
```
CaYOs
1.0
4.647 0.000 0.000
2.324 4.024 0.000
2.324 1.341 3.794
Y Ca Os
1 1 1
Cartesian
4.647 2.683 1.897
2.324 1.341 0.949
0.000 0.000 0.000
```

A geometry-optimized DyThN2 structure. Source: Alexandria, functional GGA-PBEsol.

Total magnetic moment ... 0.0000 μB per atom
D(E_F) ... 0.25 states/eV per atom
Formation energy from raw total energies ... -1.7843 eV per atom
Crystal system ... trigonal
Total DFT energy (no corrections) ... -37.3 eV per cell

Structure (POSCAR):
```
DyThN2
1.0
3.541 0.000 0.000
1.771 3.067 0.000
1.771 1.022 5.755
Dy Th N
1 1 2
Cartesian
0.000 0.000 0.000
3.541 2.044 2.877
1.771 1.022 1.405
5.312 3.067 4.350
```

A geometry-optimized Hf3SbPt structure. Source: Alexandria, functional GGA-PBEsol.

Total magnetic moment ... 0.0001 μB per atom
D(E_F) ... 0.72 states/eV per atom
Formation energy from raw total energies ... 0.0302 eV per atom
Crystal system ... cubic
Total DFT energy (no corrections) ... -42.9 eV per cell

Structure (POSCAR):
```
Hf3SbPt
1.0
5.002 0.000 0.000
0.000 5.002 0.000
0.000 0.000 5.002
Sb Hf Pt
1 3 1
Cartesian
2.501 2.501 2.501
0.000 2.501 0.000
0.000 0.000 2.501
2.501 0.000 0.000
0.000 0.000 0.000
```

A geometry-optimized SrMnGe3 structure. Source: Alexandria, functional GGA-PBEsol.

Total magnetic moment ... 0.3835 μB per atom
D(E_F) ... 0.61 states/eV per atom
ΔE_f ... -0.165 eV/atom
Crystal system ... cubic
Total DFT energy (no corrections) ... -27.2 eV per cell

Structure (POSCAR):
```
SrMnGe3
1.0
-0.465 2.856 -3.656
-4.394 -1.449 -0.574
-1.488 3.388 2.837
Sr Ge Mn
1 3 1
Cartesian
-3.173 2.398 -0.696
-2.197 -0.725 -0.287
-0.744 1.694 1.418
-0.232 1.428 -1.828
0.000 0.000 0.000
```

A geometry-optimized Li2NiRu structure. Source: Alexandria, functional GGA-PBEsol.

Total magnetic moment ... 0.1109 μB per atom
D(E_F) ... 0.80 states/eV per atom
ΔE_f ... 0.124 eV/atom
Crystal system ... orthorhombic
Total DFT energy (no corrections) ... -19.8 eV per cell

Structure (POSCAR):
```
Li2NiRu
1.0
-0.220 2.480 0.410
-4.005 -0.085 -1.634
-1.621 -0.806 4.013
Ru Ni Li
1 1 2
Cartesian
-2.813 -0.446 1.189
-0.920 0.837 2.211
0.000 0.000 0.000
-2.112 1.198 -0.612
```